Entry from Alexandria: an optimized crystal structure of Li3HgRu (GGA-PBEsol).

Geometry as POSCAR:
```
Li3HgRu
1.0
4.6097 0.0000 0.0000
0.0000 4.6097 0.0000
0.0000 0.0000 4.6097
Li Hg Ru
3 1 1
direct
0.0000 0.0000 0.5000
0.0000 0.5000 0.0000
0.5000 0.0000 0.0000
0.0000 0.0000 0.0000
0.5000 0.5000 0.5000
```

Values from the calculation:
Its spin magnetization is 1.63 Bohr magnetons per cell. The crystal system is cubic. Its density of states at the Fermi level is 5.5 states/eV per cell. For the energy of formation from the pure elements, the calculation gives 907 meV/atom.